# Zn4CuPd

Zn4CuPd after structural relaxation (PBE, Alexandria).

Calculated values
Mass density: 8.3 Mg/m³
Distance to the lowest polymorph of the same formula: 0.106 eV per atom
Calculated volume: 85.9 Å³/f.u.
DOS at the Fermi energy: 1.0 states/eV/cell
Magnetic moment: 0.00 Bohr magnetons per cell
Energy relative to the elements: -0.12 eV per atom

Unit cell a=4.952 b=4.952 c=4.952 alpha=60.00 beta=60.00 gamma=60.00
Fractional coordinates of all 6 atoms:
Zn1 0.625 0.625 0.125
Zn2 0.625 0.125 0.625
Zn3 0.625 0.625 0.625
Zn4 0.125 0.625 0.625
Cu1 0.000 0.000 0.000
Pd1 0.250 0.250 0.250